Below is a relaxed structure of SiAs, with properties calculated at the PBE level.

The structure in POSCAR format:
```
SiAs
1.0
-2.259 1.775 -6.313
5.020 -3.828 -2.873
-4.219 -5.505 -0.038
As Si
6 6
Direct
0.500 0.750 0.000
0.000 0.500 0.250
0.500 0.250 0.000
0.000 0.500 0.750
0.750 0.000 0.500
0.250 0.000 0.500
0.000 0.750 0.500
0.000 0.250 0.500
0.750 0.500 0.000
0.500 0.000 0.750
0.250 0.500 0.000
0.500 0.000 0.250
```

Computed properties:
- Raw formation energy: 0.359 eV/atom
- Mass density: 3.076 g/cm³